P2OsRu: optimized geometry, PBE.

abc: 2.9856 3.7857 4.9573
angles: 90.00 90.00 90.00
Positions (direct):
P  0.0000  0.0000  0.2180
P  0.0000  0.0000  0.7820
Os  0.0000  0.5000  0.5000
Ru  0.5000  0.5000  0.0000

Calculated values
Formation energy, eV per atom: 0.187
Distance to the lowest polymorph of the same formula, meV per atom: 534

Y2Tc2Ru: optimized geometry, PBE.

abc: 6.6074 6.6074 4.6876
angles: 90.00 90.00 90.00
Positions (direct):
Y  0.1802  0.3198  0.0000
Y  0.3198  0.8198  0.0000
Y  0.6802  0.1802  0.0000
Y  0.8198  0.6802  0.0000
Tc  0.1263  0.6263  0.5000
Tc  0.3737  0.1263  0.5000
Tc  0.6263  0.8737  0.5000
Tc  0.8737  0.3737  0.5000
Ru  0.0000  0.0000  0.5000
Ru  0.5000  0.5000  0.5000

Calculated values
Formation energy, eV per atom: 0.022

Pa2AlRh3: optimized geometry, PBE.

abc: 5.1076 5.1076 5.1076
angles: 66.17 66.17 66.17
Positions (direct):
Pa  0.1225  0.1225  0.1225
Pa  0.8775  0.8775  0.8775
Al  0.5000  0.5000  0.5000
Rh  0.0000  0.5000  0.5000
Rh  0.5000  0.0000  0.5000
Rh  0.5000  0.5000  0.0000

Calculated values
Formation energy, eV per atom: -0.849

ZrMnNiPt: optimized geometry, PBE.

abc: 4.4965 4.4965 4.4965
angles: 60.00 60.00 60.00
Positions (direct):
Zr  0.0000  0.0000  0.0000
Mn  0.5000  0.5000  0.5000
Ni  0.7500  0.7500  0.7500
Pt  0.2500  0.2500  0.2500

Calculated values
Formation energy, eV per atom: -0.457

PmSmHoCd: optimized geometry, PBE.

abc: 5.5158 5.5158 5.5158
angles: 60.00 60.00 60.00
Positions (direct):
Pm  0.0000  0.0000  0.0000
Sm  0.5000  0.5000  0.5000
Ho  0.2500  0.2500  0.2500
Cd  0.7500  0.7500  0.7500

Calculated values
Formation energy, eV per atom: -0.040
Distance to the lowest polymorph of the same formula, meV per atom: 108

RbUI2F6: optimized geometry, PBE.

abc: 7.2511 7.2511 7.2511
angles: 60.00 60.00 60.00
Positions (direct):
Rb  0.0000  0.0000  0.0000
U  0.5000  0.5000  0.5000
I  0.2500  0.2500  0.2500
I  0.7500  0.7500  0.7500
F  0.2989  0.2989  0.7011
F  0.2989  0.7011  0.2989
F  0.2989  0.7011  0.7011
F  0.7011  0.2989  0.2989
F  0.7011  0.2989  0.7011
F  0.7011  0.7011  0.2989

Calculated values
Uncorrected formation energy, eV/atom: -2.538

Please write out number 3 again, unchanged.
Pa2AlRh3: optimized geometry, PBE.

abc: 5.1076 5.1076 5.1076
angles: 66.17 66.17 66.17
Positions (direct):
Pa  0.1225  0.1225  0.1225
Pa  0.8775  0.8775  0.8775
Al  0.5000  0.5000  0.5000
Rh  0.0000  0.5000  0.5000
Rh  0.5000  0.0000  0.5000
Rh  0.5000  0.5000  0.0000

Calculated values
Formation energy, eV per atom: -0.849